Entry 1:
This record from Alexandria via LeMat-Bulk describes an optimized crystal structure of Tl2WSe. The functional is PBE.

The relative energy among the computed polymorphs comes out at 745 meV/atom.

The structure belongs to space group I-4m2 (No. 119); the cell edges are 4.556, 4.556 and 8.612 Å and the angles 90.00°, 90.00° and 90.00°. Symmetry generates all atoms from Tl at (0.000, 0.000, 0.000), Tl at (0.000, 0.500, 0.250), W at (0.000, 0.500, 0.750) and Se at (0.000, 0.000, 0.500).

=====

Entry 2:
This record from Alexandria via LeMat-Bulk describes an optimized crystal structure of TlWSe. The functional is PBE.

The relative energy among the computed polymorphs comes out at 0 meV/atom.

The structure belongs to space group Pmn2_1 (No. 31); the cell edges are 4.245, 11.583 and 3.323 Å and the angles 90.00°, 90.00° and 90.00°. Symmetry generates all atoms from Tl at (0.000, 0.095, 0.000), W at (0.000, 0.490, 0.011) and Se at (0.000, 0.655, 0.511).

=====

Entry 3:
This record from Alexandria via LeMat-Bulk describes an optimized crystal structure of TlW2Se. The functional is PBE.

The relative energy among the computed polymorphs comes out at 612 meV/atom.

The structure belongs to space group I-42d (No. 122); the cell edges are 4.204, 4.204 and 18.830 Å and the angles 90.00°, 90.00° and 90.00°. Symmetry generates all atoms from Tl at (0.000, 0.000, 0.000), W at (0.178, 0.250, 0.625) and Se at (0.000, 0.000, 0.500).

=====

Entry 4:
This record from Alexandria via LeMat-Bulk describes an optimized crystal structure of TlWSe. The functional is PBE.

The relative energy among the computed polymorphs comes out at 63 meV/atom.

The structure belongs to space group P2_1 (No. 4); the cell edges are 3.276, 4.821 and 9.049 Å and the angles 90.00°, 90.17° and 90.00°. Symmetry generates all atoms from Tl at (0.247, 0.000, 0.157), W at (0.250, 0.653, 0.491) and Se at (0.252, 0.998, 0.705).

=====

Entry 5:
This record from Alexandria via LeMat-Bulk describes an optimized crystal structure of Tl2W2Se. The functional is PBE.

The structure belongs to space group I4/mmm (No. 139); the cell edges are 4.012, 4.012 and 13.700 Å and the angles 90.00°, 90.00° and 90.00°. Symmetry generates all atoms from Tl at (0.000, 0.500, 0.250), W at (0.000, 0.000, 0.087) and Se at (0.000, 0.000, 0.500).

=====

Entry 6:
This record from Alexandria via LeMat-Bulk describes an optimized crystal structure of Tl2WSe. The functional is PBE.

The relative energy among the computed polymorphs comes out at 594 meV/atom.

The structure belongs to space group P4/mmm (No. 123); the cell edges are 2.834, 2.834 and 12.664 Å and the angles 90.00°, 90.00° and 90.00°. Symmetry generates all atoms from Tl at (0.000, 0.000, 0.206), W at (0.500, 0.500, 0.000) and Se at (0.500, 0.500, 0.500).

=====

| no. | uncorrected formation energy (kJ/mol of formula units) |
| --- | --- |
| 1 | 387 |
| 2 | 21 |
| 3 | 389 |
| 4 | 39 |
| 5 | 646 |
| 6 | 328 |